A plane-wave DFT calculation with PBE-GGA was carried out for crystalline MgTlPt2 at its relaxed geometry.

Lattice parameters (Å, degrees): 5.294 5.294 4.836 77.34 77.34 33.36
Element x y z (fractional)
Mg 0.733 0.733 0.813
Pt 0.989 0.989 0.952
Tl 0.516 0.516 0.445
Pt 0.262 0.262 0.291

- Raw total energy: -4.324 eV per atom
- ρ: 14161 kg/m3
- Magnetization: 0.00 Bohr magnetons per cell
- D(E_F): 1.1 states/eV/f.u.